Entry 1:
Material: K2NaHgSb2
Method: DFT, PBE
State: relaxed

Cell lengths 7.030, 16.597, 7.124 Å; angles 90.00, 90.00, 90.00 degrees
Space group Ibam (No. 72)
Asymmetric unit:
K  0.246  0.170  0.000 (multiplicity 8)
Na  0.000  0.000  0.250 (multiplicity 4)
Hg  0.000  0.500  0.250 (multiplicity 4)
Sb  0.226  0.393  0.000 (multiplicity 8)

Summary:
Energy, eV/cell: -56.23
ΔE_f (raw), eV per atom: -0.333
Spin magnetization, μB per formula unit: 0.0

Entry 2:
Material: Tb2DyPu
Method: DFT, PBE
State: relaxed

Cell lengths 3.5449, 3.5449, 34.0839 Å; angles 90.00, 90.00, 120.00 degrees
Space group R3m (No. 160, hexagonal axes)
Asymmetric unit:
Tb  0.0000  0.0000  0.0000 (multiplicity 3)
Tb  0.0000  0.0000  0.1686 (multiplicity 3)
Dy  0.0000  0.0000  0.7506 (multiplicity 3)
Pu  0.0000  0.0000  0.5847 (multiplicity 3)

Summary:
Calculated formation energy, eV/f.u.: 0.4
Energy, eV/cell: -83.42
Offset from the most stable computed form, eV per formula unit: 0.00
Spin magnetization, μB per formula unit: 5.9